Sr2CrHg | Alexandria via LeMat-Bulk | GGA-PBE | relaxed; polymorph energy (0 for the lowest one) = 92 meV per atom
1.0
-0.335 -2.466 2.996
-1.833 -2.550 -2.304
7.744 -3.642 -2.132
Sr Hg Cr
2 1 1
Cartesian
7.219 -3.395 -1.988 Sr
1.345 -3.650 -0.323 Sr
4.294 -5.037 -1.135 Hg
4.335 -2.038 -1.194 Cr